Tl2GaB4: optimized geometry, PBE-GGA.

Energy relative to the elements ... 1.753 eV/atom

Unit cell a=7.872 b=7.872 c=7.872 alpha=150.28 beta=150.28 gamma=42.53
Fractional coordinates of all 7 atoms:
Tl 0.166 0.166 0.000
Tl 0.834 0.834 0.000
Ga 0.500 0.500 0.000
B 0.000 0.500 0.500
B 0.345 0.345 0.000
B 0.500 0.000 0.500
B 0.655 0.655 0.000